Here is an optimized crystal structure of BiBNO2 from Alexandria via LeMat-Bulk. Energies are from PBE.

Computed properties:
Raw formation energy, eV/atom: -0.131
Calculated volume, A^3/atom: 9.90

Structure (CIF):
```
data_BiBNO2
_space_group_name_H-M_alt 'P 4/m m m'
_space_group_IT_number 123
_space_group_name_Hall '-P 4 2'
_cell_length_a 4.0393
_cell_length_b 4.0393
_cell_length_c 3.0326
_cell_angle_alpha 90.00
_cell_angle_beta 90.00
_cell_angle_gamma 90.00
loop_
_atom_site_label
_atom_site_fract_x
_atom_site_fract_y
_atom_site_fract_z
Bi1 0.0000 0.0000 0.0000
B1 0.5000 0.5000 0.5000
N1 0.5000 0.5000 0.0000
O1 0.0000 0.5000 0.5000
```


Here is an optimized crystal structure of AlTc2Ir from Alexandria via LeMat-Bulk. Energies are from PBE.

Computed properties:
E, eV/f.u.: -34.384
Calculated volume, A^3/atom: 14.47

Structure (CIF):
```
data_AlTc2Ir
_space_group_name_H-M_alt 'C 1 2/m 1'
_space_group_IT_number 12
_cell_length_a 9.2567
_cell_length_b 2.7804
_cell_length_c 4.5591
_cell_angle_alpha 90.00
_cell_angle_beta 99.52
_cell_angle_gamma 90.00
loop_
_space_group_symop_operation_xyz
'x,y,z'
'-x,-y,-z'
'-x,y,-z'
'x,-y,z'
'x+1/2,y+1/2,z'
'-x+1/2,-y+1/2,-z'
'-x+1/2,y+1/2,-z'
'x+1/2,-y+1/2,z'
loop_
_atom_site_label
_atom_site_fract_x
_atom_site_fract_y
_atom_site_fract_z
Al1 0.0000 0.0000 0.0000
Tc1 0.2445 0.0000 0.7510
Ir1 0.0000 0.5000 0.5000
```


Here is an optimized crystal structure of RbFeSe2 from Alexandria via LeMat-Bulk. Energies are from PBE.

Computed properties:
Raw formation energy, eV/atom: -0.663
Calculated volume, A^3/atom: 30.17

Structure (CIF):
```
data_RbFeSe2
_space_group_name_H-M_alt 'C 1 2/c 1'
_space_group_IT_number 15
_cell_length_a 7.5523
_cell_length_b 12.1287
_cell_length_c 5.6720
_cell_angle_alpha 90.00
_cell_angle_beta 111.68
_cell_angle_gamma 90.00
loop_
_space_group_symop_operation_xyz
'x,y,z'
'-x,-y,-z'
'-x,y,-z+1/2'
'x,-y,z+1/2'
'x+1/2,y+1/2,z'
'-x+1/2,-y+1/2,-z'
'-x+1/2,y+1/2,-z+1/2'
'x+1/2,-y+1/2,z+1/2'
loop_
_atom_site_label
_atom_site_fract_x
_atom_site_fract_y
_atom_site_fract_z
Rb1 0.0000 0.1402 0.2500
Fe1 0.0000 0.4986 0.7500
Se1 0.1891 0.3916 0.0940
```


Here is an optimized crystal structure of PrTmRh from Alexandria via LeMat-Bulk. Energies are from PBE.

Computed properties:
Calculated volume, A^3/atom: 28.36
Energy above the lowest structure with this stoichiometry, meV per atom: 91

Structure (CIF):
```
data_PrTmRh
_space_group_name_H-M_alt 'P 1 21/c 1'
_space_group_IT_number 14
_cell_length_a 6.8907
_cell_length_b 6.1140
_cell_length_c 10.2293
_cell_angle_alpha 90.00
_cell_angle_beta 127.84
_cell_angle_gamma 90.00
loop_
_space_group_symop_operation_xyz
'x,y,z'
'-x,-y,-z'
'-x,y+1/2,-z+1/2'
'x,-y+1/2,z+1/2'
loop_
_atom_site_label
_atom_site_fract_x
_atom_site_fract_y
_atom_site_fract_z
Pr1 0.1804 0.1283 0.3878
Tm1 0.3437 0.6131 0.6337
Rh1 0.3402 0.6715 0.3659
```


Here is an optimized crystal structure of Tl6IrO12 from Alexandria via LeMat-Bulk. Energies are from PBE.

Computed properties:
Raw formation energy, eV/atom: -0.647
Calculated volume, A^3/atom: 14.19

Structure (CIF):
```
data_Tl6IrO12
_space_group_name_H-M_alt 'R -3'
_space_group_IT_number 148
_space_group_name_Hall '-R 3'
_cell_length_a 9.8475
_cell_length_b 9.8475
_cell_length_c 9.6299
_cell_angle_alpha 90.00
_cell_angle_beta 90.00
_cell_angle_gamma 120.00
loop_
_atom_site_label
_atom_site_fract_x
_atom_site_fract_y
_atom_site_fract_z
Tl1 0.0455 0.7868 0.1526
Ir1 0.0000 0.0000 0.5000
O1 0.0241 0.8002 0.8988
O2 0.0364 0.8542 0.3908
```


Here is an optimized crystal structure of ZrAg2Pb from Alexandria via LeMat-Bulk. Energies are from PBE.

Computed properties:
E, eV/f.u.: -17.556
Calculated volume, A^3/atom: 21.82

Structure (CIF):
```
data_ZrAg2Pb
_space_group_name_H-M_alt 'C 1 m 1'
_space_group_IT_number 8
_cell_length_a 9.4880
_cell_length_b 3.3089
_cell_length_c 5.6528
_cell_angle_alpha 90.00
_cell_angle_beta 100.35
_cell_angle_gamma 90.00
loop_
_space_group_symop_operation_xyz
'x,y,z'
'x,-y,z'
'x+1/2,y+1/2,z'
'x+1/2,-y+1/2,z'
loop_
_atom_site_label
_atom_site_fract_x
_atom_site_fract_y
_atom_site_fract_z
Zr1 0.0000 0.0000 0.0000
Ag1 0.2455 0.5000 0.2352
Ag2 0.4878 0.0000 0.4558
Pb1 0.2410 0.0000 0.7208
```


Here is an optimized crystal structure of ReHAuF2 from Alexandria via LeMat-Bulk. Energies are from PBE.

Computed properties:
E, eV/f.u.: -22.633
Calculated volume, A^3/atom: 16.46

Structure (CIF):
```
data_ReHAuF2
_space_group_name_H-M_alt 'P 4/m m m'
_space_group_IT_number 123
_space_group_name_Hall '-P 4 2'
_cell_length_a 3.9380
_cell_length_b 3.9380
_cell_length_c 5.3061
_cell_angle_alpha 90.00
_cell_angle_beta 90.00
_cell_angle_gamma 90.00
loop_
_atom_site_label
_atom_site_fract_x
_atom_site_fract_y
_atom_site_fract_z
Re1 0.0000 0.0000 0.0000
H1 0.5000 0.5000 0.5000
Au1 0.0000 0.0000 0.5000
F1 0.0000 0.5000 0.0000
```


Here is an optimized crystal structure of AsIrAuClO from Alexandria via LeMat-Bulk. Energies are from PBE.

Computed properties:
Raw formation energy, eV/atom: -0.055
Calculated volume, A^3/atom: 18.96
Energy above the lowest structure with this stoichiometry, meV per atom: 243

Structure (CIF):
```
data_AsIrAuClO
_space_group_name_H-M_alt 'C 1 m 1'
_space_group_IT_number 8
_cell_length_a 13.5480
_cell_length_b 3.0119
_cell_length_c 4.9379
_cell_angle_alpha 90.00
_cell_angle_beta 109.78
_cell_angle_gamma 90.00
loop_
_space_group_symop_operation_xyz
'x,y,z'
'x,-y,z'
'x+1/2,y+1/2,z'
'x+1/2,-y+1/2,z'
loop_
_atom_site_label
_atom_site_fract_x
_atom_site_fract_y
_atom_site_fract_z
As1 0.0000 0.0000 0.0000
Ir1 0.1304 0.0000 0.4668
Au1 0.3039 0.5000 0.8209
Cl1 0.2572 0.0000 0.2538
O1 0.0280 0.0000 0.6786
```


Here is an optimized crystal structure of TbAlNiAg from Alexandria via LeMat-Bulk. Energies are from PBE.

Computed properties:
E, eV/f.u.: -18.228
Calculated volume, A^3/atom: 18.16

Structure (CIF):
```
data_TbAlNiAg
_space_group_name_H-M_alt 'F -4 3 m'
_space_group_IT_number 216
_space_group_name_Hall 'F -4 2 3'
_cell_length_a 6.6239
_cell_length_b 6.6239
_cell_length_c 6.6239
_cell_angle_alpha 90.00
_cell_angle_beta 90.00
_cell_angle_gamma 90.00
loop_
_atom_site_label
_atom_site_fract_x
_atom_site_fract_y
_atom_site_fract_z
Tb1 0.0000 0.0000 0.0000
Al1 0.0000 0.0000 0.5000
Ni1 0.2500 0.2500 0.7500
Ag1 0.2500 0.2500 0.2500
```


Here is an optimized crystal structure of La2ScS4 from Alexandria via LeMat-Bulk. Energies are from PBE.

Computed properties:
Raw formation energy, eV/atom: -1.934
Calculated volume, A^3/atom: 24.23
Energy above the lowest structure with this stoichiometry, meV per atom: 0

Structure (CIF):
```
data_La2ScS4
_space_group_name_H-M_alt 'I 4/m m m'
_space_group_IT_number 139
_space_group_name_Hall '-I 4 2'
_cell_length_a 4.8092
_cell_length_b 4.8092
_cell_length_c 14.6653
_cell_angle_alpha 90.00
_cell_angle_beta 90.00
_cell_angle_gamma 90.00
loop_
_atom_site_label
_atom_site_fract_x
_atom_site_fract_y
_atom_site_fract_z
La1 0.0000 0.0000 0.1340
Sc1 0.0000 0.0000 0.5000
S1 0.0000 0.0000 0.3222
S2 0.0000 0.5000 0.0000
```


Here is an optimized crystal structure of LiTc3 from Alexandria via LeMat-Bulk. Energies are from PBE.

Computed properties:
Calculated volume, A^3/atom: 13.55
Energy above the lowest structure with this stoichiometry, meV per atom: 135

Structure (CIF):
```
data_LiTc3
_space_group_name_H-M_alt 'P 4/m m m'
_space_group_IT_number 123
_space_group_name_Hall '-P 4 2'
_cell_length_a 3.1085
_cell_length_b 3.1085
_cell_length_c 5.6097
_cell_angle_alpha 90.00
_cell_angle_beta 90.00
_cell_angle_gamma 90.00
loop_
_atom_site_label
_atom_site_fract_x
_atom_site_fract_y
_atom_site_fract_z
Li1 0.0000 0.0000 0.0000
Tc1 0.0000 0.0000 0.5000
Tc2 0.5000 0.5000 0.2248
```


Here is an optimized crystal structure of LaBeCl from Alexandria via LeMat-Bulk. Energies are from PBE.

Computed properties:
Raw formation energy, eV/atom: -0.363
Calculated volume, A^3/atom: 22.99
Energy above the lowest structure with this stoichiometry, meV per atom: 0

Structure (CIF):
```
data_LaBeCl
_space_group_name_H-M_alt 'I m m 2'
_space_group_IT_number 44
_cell_length_a 3.7446
_cell_length_b 4.6246
_cell_length_c 7.9667
_cell_angle_alpha 90.00
_cell_angle_beta 90.00
_cell_angle_gamma 90.00
loop_
_space_group_symop_operation_xyz
'x,y,z'
'-x,-y,z'
'-x,y,z'
'x,-y,z'
'x+1/2,y+1/2,z+1/2'
'-x+1/2,-y+1/2,z+1/2'
'-x+1/2,y+1/2,z+1/2'
'x+1/2,-y+1/2,z+1/2'
loop_
_atom_site_label
_atom_site_fract_x
_atom_site_fract_y
_atom_site_fract_z
La1 0.0000 0.0000 0.0000
Be1 0.0000 0.0000 0.6323
Cl1 0.0000 0.0000 0.3809
```